# 1
# Na2Nb2Se5

A relaxed Na2Nb2Se5 crystal (PBE-GGA, the Alexandria database).

Cell lengths 5.0184, 7.9583, 7.3687 Å; angles 95.35, 90.00, 108.38 degrees
With the nearest neighbours (Å) after each atom.
Fractional coordinates of all 9 atoms:
Na 0.3463 0.6925 0.6309  4 Se 2.90-3.14
Se 0.6846 0.3692 0.9739  3 Nb 2.64-2.65
Se 0.1378 0.2756 0.5618  1 Nb 2.40
Se 0.8622 0.7244 0.4382  1 Nb 2.40
Se 0.0000 0.0000 0.0000  2 Nb 2.44
Nb 0.8531 0.7063 0.1119  5 Se 2.40-2.65
Na 0.6537 0.3075 0.3691  4 Se 2.90-3.14
Se 0.3154 0.6308 0.0261  3 Nb 2.64-2.65
Nb 0.1469 0.2937 0.8881  5 Se 2.40-2.65

Calculated values
The value obtained for the magnetic moment is 0.000 μB per cell. For the uncorrected formation energy, the calculation gives -0.72 eV per atom. Its space group is C2/m, No. 12.

# 2
# NaNb4Se8

A relaxed NaNb4Se8 crystal (PBE-GGA, the Alexandria database).

Cell lengths 6.9815, 6.9815, 8.5915 Å; angles 101.34, 102.11, 119.98 degrees
With the nearest neighbours (Å) after each atom.
Fractional coordinates of all 13 atoms:
Se 0.8068 0.9758 0.7826  3 Nb 2.62
Nb 0.7549 0.7549 0.0000  6 Se 2.62-2.63
Na 0.0000 0.5000 0.5000  6 Se 3.01-3.03
Se 0.1932 0.0242 0.2174  3 Nb 2.62
Nb 0.2488 0.7522 0.0010  6 Se 2.62-2.64
Se 0.3088 0.9787 0.7849  3 Nb 2.63
Se 0.3104 0.4775 0.7879  3 Nb 2.63-2.64
Nb 0.2451 0.2451 0.0000  6 Se 2.62-2.63
Se 0.8062 0.4761 0.7849  3 Nb 2.63
Se 0.6896 0.5225 0.2121  3 Nb 2.63-2.64
Se 0.6912 0.0213 0.2151  3 Nb 2.63
Nb 0.7512 0.2478 0.9990  6 Se 2.62-2.64
Se 0.1938 0.5239 0.2151  3 Nb 2.63

Calculated values
The value obtained for the magnetic moment is 0.000 μB per cell. For the energy relative to the lowest polymorph listed for this composition, the calculation gives 0 meV/atom. For the uncorrected formation energy, the calculation gives -0.88 eV per atom. Its space group is C2/m, No. 12.

# 3
# NaNb4Se8

A relaxed NaNb4Se8 crystal (PBE-GGA, the Alexandria database).

Cell lengths 7.5693, 7.5693, 7.5693 Å; angles 60.00, 60.00, 60.00 degrees
With the nearest neighbours (Å) after each atom.
Fractional coordinates of all 13 atoms:
Nb 0.3576 0.3576 0.3576  6 Se 2.59-2.73
Na 0.7500 0.7500 0.7500  4 Se 2.63
Nb 0.3576 0.9272 0.3576  6 Se 2.59-2.73
Se 0.1748 0.6084 0.6084  1 Na 2.63, 3 Nb 2.73
Nb 0.9272 0.3576 0.3576  6 Se 2.59-2.73
Se 0.6457 0.1181 0.1181  3 Nb 2.59
Se 0.6084 0.1748 0.6084  1 Na 2.63, 3 Nb 2.73
Se 0.6084 0.6084 0.6084  1 Na 2.63, 3 Nb 2.73
Nb 0.3576 0.3576 0.9272  6 Se 2.59-2.73
Se 0.1181 0.1181 0.1181  3 Nb 2.59
Se 0.1181 0.6457 0.1181  3 Nb 2.59
Se 0.1181 0.1181 0.6457  3 Nb 2.59
Se 0.6084 0.6084 0.1748  1 Na 2.63, 3 Nb 2.73

Calculated values
The value obtained for the magnetic moment is 0.819 μB per cell. For the energy relative to the lowest polymorph listed for this composition, the calculation gives 119 meV/atom. For the uncorrected formation energy, the calculation gives -0.76 eV per atom. Its space group is F-43m, No. 216.

# 4
# NaNb2Se2

A relaxed NaNb2Se2 crystal (PBE-GGA, the Alexandria database).

Cell lengths 5.0813, 5.0813, 5.5422 Å; angles 62.71, 62.71, 90.00 degrees
With the nearest neighbours (Å) after each atom.
Fractional coordinates of all 5 atoms:
Nb 0.6377 0.6377 0.7247  1 Nb 2.32
Se 0.2500 0.7500 0.5000  4 Nb 2.71
Se 0.7500 0.2500 0.5000  4 Nb 2.71
Na 0.0000 0.0000 0.0000  2 Nb 3.06, 8 Se 3.30
Nb 0.3623 0.3623 0.2753  1 Nb 2.32

Calculated values
The value obtained for the magnetic moment is 0.000 μB per cell. For the energy relative to the lowest polymorph listed for this composition, the calculation gives 339 meV/atom. For the uncorrected formation energy, the calculation gives -0.34 eV per atom. Its space group is I4/mmm, No. 139.

# 5
# Na2NbSe4

A relaxed Na2NbSe4 crystal (PBE-GGA, the Alexandria database).

Cell lengths 3.7928, 6.8051, 7.9118 Å; angles 117.83, 103.87, 90.00 degrees
With the nearest neighbours (Å) after each atom.
Fractional coordinates of all 7 atoms:
Se 0.9401 0.2975 0.8803  1 Se 2.47, 1 Nb 2.60
Se 0.6324 0.2074 0.2648  2 Nb 2.64, 1 Na 2.94
Na 0.2990 0.3083 0.5979  5 Se 2.91-2.99
Na 0.7010 0.6917 0.4021  5 Se 2.91-2.99
Se 0.0599 0.7025 0.1197  1 Se 2.47, 1 Nb 2.60
Se 0.3676 0.7926 0.7352  2 Nb 2.64, 1 Na 2.94
Nb 0.0000 0.0000 0.0000  6 Se 2.60-2.64

Calculated values
The value obtained for the magnetic moment is 0.000 μB per cell. For the uncorrected formation energy, the calculation gives -0.75 eV per atom. Its space group is C2/m, No. 12.

# 6
# NaNb6Se8

A relaxed NaNb6Se8 crystal (PBE-GGA, the Alexandria database).

Cell lengths 10.0896, 10.0896, 3.5312 Å; angles 90.00, 90.00, 120.00 degrees
With the nearest neighbours (Å) after each atom.
Fractional coordinates of all 15 atoms:
Se 0.6667 0.3333 0.2496  6 Nb 2.73-2.74
Nb 0.3818 0.4882 0.2508  6 Se 2.61-2.83, 2 Nb 2.88
Nb 0.4882 0.1064 0.7492  6 Se 2.61-2.83, 2 Nb 2.88
Na 0.0000 0.0000 0.5000  6 Se 3.26, 2 Na 3.53
Se 0.3333 0.6667 0.7504  6 Nb 2.73-2.74
Nb 0.6182 0.5118 0.7492  6 Se 2.61-2.83, 2 Nb 2.88
Nb 0.5118 0.8936 0.2508  6 Se 2.61-2.83, 2 Nb 2.88
Se 0.9424 0.6640 0.7515  4 Nb 2.61-2.83
Nb 0.1064 0.6182 0.2508  6 Se 2.61-2.83, 2 Nb 2.88
Nb 0.8936 0.3818 0.7492  6 Se 2.61-2.83, 2 Nb 2.88
Se 0.7216 0.0576 0.7515  4 Nb 2.61-2.83
Se 0.6640 0.7216 0.2485  4 Nb 2.61-2.83
Se 0.2784 0.9424 0.2485  4 Nb 2.61-2.83
Se 0.3360 0.2784 0.7515  4 Nb 2.61-2.83
Se 0.0576 0.3360 0.2485  4 Nb 2.61-2.83

Calculated values
The value obtained for the magnetic moment is 0.000 μB per cell. For the energy relative to the lowest polymorph listed for this composition, the calculation gives 0 meV/atom. For the uncorrected formation energy, the calculation gives -0.88 eV per atom. Its space group is P-3, No. 147.

# 7
# Na3NbSe4

A relaxed Na3NbSe4 crystal (PBE-GGA, the Alexandria database).

Cell lengths 6.2702, 8.3067, 9.5912 Å; angles 90.00, 90.00, 90.00 degrees
With the nearest neighbours (Å) after each atom.
Fractional coordinates of all 16 atoms:
Na 0.5733 0.3318 0.2670  4 Se 2.84-3.14
Se 0.0907 0.8147 0.5000  1 Nb 2.40
Na 0.5733 0.3318 0.7330  4 Se 2.84-3.14
Na 0.0733 0.6682 0.7670  4 Se 2.84-3.14
Se 0.5907 0.1853 0.0000  1 Nb 2.40
Na 0.0733 0.6682 0.2330  4 Se 2.84-3.14
Se 0.0802 0.3153 0.2145  1 Nb 2.45
Se 0.5748 0.1058 0.5000  1 Nb 2.44
Se 0.0748 0.8942 0.0000  1 Nb 2.44
Se 0.0802 0.3153 0.7855  1 Nb 2.45
Nb 0.4732 0.8221 0.5000  4 Se 2.40-2.45
Se 0.5802 0.6847 0.7145  1 Nb 2.45
Nb 0.9732 0.1779 0.0000  4 Se 2.40-2.45
Na 0.0697 0.1573 0.5000  4 Se 2.85-3.13
Se 0.5802 0.6847 0.2855  1 Nb 2.45
Na 0.5697 0.8427 0.0000  4 Se 2.85-3.13

Calculated values
The value obtained for the magnetic moment is 0.000 μB per cell. For the uncorrected formation energy, the calculation gives -0.96 eV per atom. Its space group is Pmn2_1, No. 31.

# 8
# Na2NbSe5

A relaxed Na2NbSe5 crystal (PBE-GGA, the Alexandria database).

Cell lengths 7.8348, 5.5509, 7.9977 Å; angles 110.38, 119.33, 90.00 degrees
With the nearest neighbours (Å) after each atom.
Fractional coordinates of all 8 atoms:
Se 0.2768 0.7742 0.0757  1 Nb 2.54, 1 Se 2.63
Se 0.7803 0.7811 0.5606  1 Nb 2.38
Se 0.7990 0.7743 0.0758  1 Nb 2.54, 1 Se 2.63
Se 0.7997 0.3011 0.0769  1 Nb 2.54, 1 Se 2.63
Na 0.6840 0.1842 0.3679  6 Se 3.04-3.13
Na 0.1934 0.6947 0.3868  4 Se 3.03
Nb 0.9667 0.9664 0.9334  5 Se 2.38-2.54
Se 0.2772 0.3011 0.0769  1 Nb 2.54, 1 Se 2.63

Calculated values
The value obtained for the magnetic moment is 0.000 μB per cell. For the uncorrected formation energy, the calculation gives -0.62 eV per atom. Its space group is Cm, No. 8.

no.,total energy (eV/atom)
1,-5.18
2,-6.22
3,-6.11
4,-6.02
5,-4.56
6,-6.85
7,-4.45
8,-4.39